Material: Rb2MoPO6
Method: DFT, GGA+U
State: optimized geometry

a b c (Å): 5.218 5.219 6.714
angles (deg): 67.12 67.13 90.00
Last column: magnetic moment on the atom in μB.
Atoms (fractional coordinates):
Rb 0.750 0.250 0.500  0.00
Rb 0.250 0.750 0.500  0.00
Mo 0.000 0.000 0.000  1.02
P 0.500 0.500 0.000  0.03
O 0.165 0.165 0.671  -0.06
O 0.768 0.660 0.000  0.01
O 0.340 0.768 0.000  0.01
O 0.660 0.232 0.000  0.01
O 0.232 0.340 0.000  0.01
O 0.835 0.835 0.329  -0.06

## Properties
DFT total energy ... -5.9960 eV per atom
Space group ... No. 87
Total magnetic moment ... 0.099 μB/atom